Model A:
Entry from Alexandria via LeMat-Bulk: crystalline LiAl2Os at its relaxed geometry (PBE-GGA).

a = 9.113 Å, b = 9.113 Å, c = 9.113 Å
α = 155.82°, β = 155.82°, γ = 34.47°
Element x y z (fractional)
Li: 0.000 0.000 0.000
Li: 0.750 0.250 0.500
Al: 0.139 0.625 0.014
Al: 0.375 0.389 0.514
Al: 0.611 0.125 0.986
Al: 0.875 0.861 0.486
Os: 0.250 0.750 0.500
Os: 0.500 0.500 0.000

## Properties
SG: I-42d, No. 122
Size of the total moment in μB per cell: 0.70

Model B:
Entry from Alexandria via LeMat-Bulk: crystalline LiAl2Os at its relaxed geometry (PBE-GGA).

a = 2.740 Å, b = 3.998 Å, c = 5.275 Å
α = 90.00°, β = 90.00°, γ = 90.00°
Element x y z (fractional)
Li: 0.000 0.000 0.000
Al: 0.000 0.000 0.468
Al: 0.500 0.500 0.770
Os: 0.500 0.500 0.265

## Properties
SG: Pmm2, No. 25
Size of the total moment in μB per cell: 0.00

Unit: meV per atom. Relative energies: model A 448; model B 0.